Entry 1:
MnNbCd2O6 (PBE+U, relaxed); space group = C2 (5)
1.0
-4.900 -2.164 -0.158
-1.451 -3.203 -4.461
-0.535 -5.636 0.463
O Nb Cd Mn
6 1 2 1
Direct
0.964 0.548 0.278 O
0.506 0.637 0.861 O
0.126 0.506 0.732 O
0.507 0.125 0.371 O
0.668 0.090 0.819 O
0.127 0.996 0.244 O
0.316 0.315 0.052 Nb
0.538 0.565 0.304 Cd
0.095 0.064 0.803 Cd
0.816 0.816 0.552 Mn



Entry 2:
MnNbCd2O (PBE+U, relaxed); N(E_F) = 3.19 states/eV/f.u.; space group = P4/mmm (123)
1.0
5.499 0.000 0.000
0.000 3.576 0.000
0.000 0.000 5.499
Mn Cd O Nb
1 2 1 1
Direct
0.000 0.000 0.000 Mn
0.500 0.000 0.000 Cd
0.000 0.000 0.500 Cd
0.000 0.500 0.000 O
0.500 0.500 0.500 Nb



Entry 3:
Nd2MnCdO6 (PBE+U, relaxed); N(E_F) = 0.00 states/eV/f.u.; space group = P2_1/c (14)
1.0
-0.196 -1.705 5.277
-2.215 -5.179 -1.756
7.411 -2.952 -0.640
Cd O Mn Nd
2 12 2 4
Direct
0.000 0.500 0.500 Cd
0.500 0.000 0.000 Cd
0.785 0.824 0.552 O
0.885 0.549 0.227 O
0.670 0.278 0.568 O
0.830 0.778 0.932 O
0.215 0.176 0.448 O
0.170 0.222 0.068 O
0.385 0.951 0.727 O
0.115 0.451 0.773 O
0.285 0.676 0.052 O
0.715 0.324 0.948 O
0.615 0.049 0.273 O
0.330 0.722 0.432 O
0.000 0.500 0.000 Mn
0.500 0.000 0.500 Mn
0.480 0.435 0.247 Nd
0.520 0.565 0.753 Nd
0.980 0.065 0.747 Nd
0.020 0.935 0.253 Nd



no.,DFT total energy (eV/atom)
1,-6.596
2,-4.521
3,-7.105